The following is a GGA-PBE calculation of a relaxed NpCl3F crystal, from Alexandria via LeMat-Bulk.

Unit cell a=8.476 b=4.122 c=9.109 alpha=90.00 beta=90.00 gamma=90.00
Space group Pmma (No. 51)
One atom of each set of equivalent atoms:
Np  0.250  0.000  0.230
Cl  0.042  0.500  0.227
Cl  0.250  0.000  0.504
F  0.250  0.000  0.009

Results
The raw formation energy comes out at -2045 meV/atom. The calculation puts the distance to the lowest polymorph of the same formula at 0.000 eV/atom. The total magnetization comes out at 3.00 μB/f.u. As for the total energy: -6.115 eV per atom.

=====

The following is a GGA-PBE calculation of a relaxed CePuN4 crystal, from Alexandria via LeMat-Bulk.

Unit cell a=6.638 b=3.805 c=6.663 alpha=90.00 beta=97.12 gamma=90.00
Space group Cm (No. 8)
One atom of each set of equivalent atoms:
Ce  0.000  0.000  0.000
Pu  0.108  0.500  0.565
N  0.152  0.500  0.901
N  0.247  0.000  0.350
N  0.367  0.000  0.222
N  0.454  0.500  0.639

Results
The raw formation energy comes out at -934 meV/atom. The total magnetization comes out at 3.86 μB/f.u. As for the total energy: -9.862 eV per atom.

=====

The following is a GGA-PBE calculation of a relaxed Sc2ZnCd crystal, from Alexandria via LeMat-Bulk.

Unit cell a=3.1656 b=3.1656 c=31.8012 alpha=90.00 beta=90.00 gamma=120.00
Space group R-3m (No. 166, hexagonal axes)
One atom of each set of equivalent atoms:
Sc  0.0000  0.0000  0.0973
Zn  0.0000  0.0000  0.5000
Cd  0.0000  0.0000  0.0000

Results
The total magnetization comes out at 0.00 μB/f.u. The value obtained for the calculated formation energy is 79 meV/atom. As for the total energy: -3.634 eV per atom.

=====

The following is a GGA-PBE calculation of a relaxed Zr2TiSbN crystal, from Alexandria via LeMat-Bulk.

Unit cell a=4.650 b=4.650 c=4.015 alpha=90.00 beta=90.00 gamma=90.00
Space group P4/mmm (No. 123)
One atom of each set of equivalent atoms:
Zr  0.000  0.500  0.000
Ti  0.000  0.000  0.500
Sb  0.500  0.500  0.500
N  0.000  0.000  0.000

Results
The raw formation energy comes out at -897 meV/atom. The total magnetization comes out at 0.00 μB/f.u. As for the total energy: -8.385 eV per atom.

=====

The following is a GGA-PBE calculation of a relaxed LiInGa2 crystal, from Alexandria via LeMat-Bulk.

Unit cell a=3.512 b=3.512 c=6.424 alpha=90.00 beta=90.00 gamma=90.00
Space group P4/mmm (No. 123)
One atom of each set of equivalent atoms:
Li  0.000  0.000  0.000
In  0.000  0.000  0.500
Ga  0.500  0.500  0.222

Results
The total magnetization comes out at 0.00 μB/f.u. The value obtained for the calculated formation energy is -88 meV/atom. As for the total energy: -2.764 eV per atom.

=====

The following is a GGA-PBE calculation of a relaxed K2USe2I2 crystal, from Alexandria via LeMat-Bulk.

Unit cell a=5.531 b=5.531 c=18.034 alpha=90.00 beta=90.00 gamma=90.00
Space group I4/mmm (No. 139)
One atom of each set of equivalent atoms:
K  0.000  0.000  0.124
U  0.000  0.000  0.500
Se  0.000  0.500  0.000
I  0.000  0.000  0.327

Results
The raw formation energy comes out at -1252 meV/atom. The total magnetization comes out at 2.00 μB/f.u. As for the total energy: -4.617 eV per atom.

=====

The following is a GGA-PBE calculation of a relaxed Nd3Dy2PaAs6 crystal, from Alexandria via LeMat-Bulk.

Unit cell a=7.239 b=12.538 c=7.268 alpha=90.00 beta=109.35 gamma=90.00
Space group C2/m (No. 12)
One atom of each set of equivalent atoms:
Nd  0.000  0.000  0.000
Nd  0.000  0.332  0.000
Dy  0.000  0.166  0.500
Pa  0.000  0.500  0.500
As  0.243  0.336  0.738
As  0.249  0.500  0.263

Results
The total magnetization comes out at 0.00 μB/f.u. The value obtained for the calculated formation energy is -1460 meV/atom. As for the total energy: -6.535 eV per atom.

=====

The following is a GGA-PBE calculation of a relaxed In3W4 crystal, from Alexandria via LeMat-Bulk.

Unit cell a=3.367 b=3.367 c=22.794 alpha=90.00 beta=90.00 gamma=90.00
Space group I4/mmm (No. 139)
One atom of each set of equivalent atoms:
In  0.000  0.000  0.000
In  0.000  0.000  0.293
W  0.000  0.000  0.131
W  0.000  0.000  0.427

Results
The total magnetization comes out at 0.00 μB/f.u. The value obtained for the calculated formation energy is 446 meV/atom. As for the total energy: -8.130 eV per atom.

=====

The following is a GGA-PBE calculation of a relaxed PrHo2Rh crystal, from Alexandria via LeMat-Bulk.

Unit cell a=3.495 b=3.495 c=8.784 alpha=90.00 beta=90.00 gamma=90.00
Space group P4/mmm (No. 123)
One atom of each set of equivalent atoms:
Pr  0.000  0.000  0.000
Ho  0.500  0.500  0.315
Rh  0.000  0.000  0.500

Results
The calculation puts the distance to the lowest polymorph of the same formula at 0.060 eV/atom. The total magnetization comes out at 0.00 μB/f.u. The value obtained for the calculated formation energy is -436 meV/atom. As for the total energy: -5.757 eV per atom.

=====

The following is a GGA-PBE calculation of a relaxed CeSm2Hf crystal, from Alexandria via LeMat-Bulk.

Unit cell a=3.3329 b=3.3329 c=36.0727 alpha=90.00 beta=90.00 gamma=120.00
Space group R-3m (No. 166, hexagonal axes)
One atom of each set of equivalent atoms:
Ce  0.0000  0.0000  0.0000
Sm  0.0000  0.0000  0.4135
Hf  0.0000  0.0000  0.5000

Results
The calculation puts the distance to the lowest polymorph of the same formula at 0.194 eV/atom. The total magnetization comes out at 0.30 μB/f.u. The value obtained for the calculated formation energy is 390 meV/atom. As for the total energy: -5.942 eV per atom.

=====

The following is a GGA-PBE calculation of a relaxed Sm3AgPt2 crystal, from Alexandria via LeMat-Bulk.

Unit cell a=13.148 b=6.040 c=8.225 alpha=90.00 beta=108.04 gamma=90.00
Space group C2/c (No. 15)
One atom of each set of equivalent atoms:
Sm  0.000  0.128  0.250
Sm  0.190  0.491  0.094
Ag  0.000  0.364  0.750
Pt  0.151  0.009  0.578

Results
The calculation puts the distance to the lowest polymorph of the same formula at 0.053 eV/atom. The total magnetization comes out at 0.00 μB/f.u. The value obtained for the calculated formation energy is -789 meV/atom. As for the total energy: -5.637 eV per atom.

=====

The following is a GGA-PBE calculation of a relaxed Tb2Pr6Ho crystal, from Alexandria via LeMat-Bulk.

Unit cell a=8.336 b=8.336 c=10.578 alpha=90.00 beta=90.00 gamma=90.00
Space group P4_2/mnm (No. 136)
One atom of each set of equivalent atoms:
Tb  0.000  0.000  0.168
Pr  0.239  0.239  0.000
Pr  0.239  0.239  0.333
Ho  0.000  0.000  0.500

Results
The calculation puts the distance to the lowest polymorph of the same formula at 0.464 eV/atom. The total magnetization comes out at 0.00 μB/f.u. The value obtained for the calculated formation energy is 592 meV/atom. As for the total energy: -4.132 eV per atom.

=====

The following is a GGA-PBE calculation of a relaxed ErIn3 crystal, from Alexandria via LeMat-Bulk.

Unit cell a=3.589 b=10.807 c=5.373 alpha=90.00 beta=90.00 gamma=90.00
Space group Imm2 (No. 44)
One atom of each set of equivalent atoms:
Er  0.000  0.000  0.000
In  0.000  0.252  0.352
In  0.000  0.500  0.993

Results
The total magnetization comes out at 0.00 μB/f.u. The value obtained for the calculated formation energy is -255 meV/atom. As for the total energy: -3.449 eV per atom.

=====

The following is a GGA-PBE calculation of a relaxed Rb2Li3ZrH12 crystal, from Alexandria via LeMat-Bulk.

Unit cell a=6.9722 b=6.9722 c=14.4395 alpha=90.00 beta=90.00 gamma=120.00
Space group R-3m (No. 166, hexagonal axes)
One atom of each set of equivalent atoms:
Rb  0.0000  0.0000  0.1110
Li  0.0000  0.5000  0.0000
Zr  0.0000  0.0000  0.5000
H  0.0183  0.5092  0.1269
H  0.1084  0.5542  0.2829

Results
The total magnetization comes out at 0.00 μB/f.u. As for the total energy: -3.144 eV per atom.

=====

The following is a GGA-PBE calculation of a relaxed Th2Co2Sb crystal, from Alexandria via LeMat-Bulk.

Unit cell a=7.379 b=7.379 c=3.854 alpha=90.00 beta=90.00 gamma=90.00
Space group P4/mbm (No. 127)
One atom of each set of equivalent atoms:
Th  0.175  0.325  0.000
Co  0.129  0.629  0.500
Sb  0.000  0.000  0.500

Results
The raw formation energy comes out at -520 meV/atom. The calculation puts the distance to the lowest polymorph of the same formula at 0.000 eV/atom. The total magnetization comes out at 0.00 μB/f.u. As for the total energy: -7.155 eV per atom.

=====

The following is a GGA-PBE calculation of a relaxed Sc4GaHg2 crystal, from Alexandria via LeMat-Bulk.

Unit cell a=4.8370 b=4.8370 c=23.7981 alpha=90.00 beta=90.00 gamma=120.00
Space group R-3m (No. 166, hexagonal axes)
One atom of each set of equivalent atoms:
Sc  0.0000  0.0000  0.1236
Sc  0.0000  0.0000  0.3744
Ga  0.0000  0.0000  0.5000
Hg  0.0000  0.0000  0.2521

Results
The calculation puts the distance to the lowest polymorph of the same formula at 0.000 eV/atom. The total magnetization comes out at 0.02 μB/f.u. The value obtained for the calculated formation energy is -300 meV/atom. As for the total energy: -4.436 eV per atom.

=====

The following is a GGA-PBE calculation of a relaxed ZrGaPd2 crystal, from Alexandria via LeMat-Bulk.

Unit cell a=4.039 b=4.039 c=17.989 alpha=90.00 beta=90.00 gamma=90.00
Space group I-42d (No. 122)
One atom of each set of equivalent atoms:
Zr  0.000  0.000  0.000
Ga  0.000  0.000  0.500
Pd  0.233  0.250  0.625

Results
The total magnetization comes out at 0.00 μB/f.u. The value obtained for the calculated formation energy is -351 meV/atom. As for the total energy: -5.841 eV per atom.

=====

The following is a GGA-PBE calculation of a relaxed Sr3In crystal, from Alexandria via LeMat-Bulk.

Unit cell a=12.1514 b=12.1514 c=4.0431 alpha=90.00 beta=90.00 gamma=120.00
Space group R-3m (No. 166, hexagonal axes)
One atom of each set of equivalent atoms:
Sr  0.0000  0.5000  0.0000
In  0.0000  0.0000  0.0000

Results
The total magnetization comes out at 0.00 μB/f.u. The value obtained for the calculated formation energy is -31 meV/atom. As for the total energy: -1.977 eV per atom.

=====

The following is a GGA-PBE calculation of a relaxed Pm2AgHg3 crystal, from Alexandria via LeMat-Bulk.

Unit cell a=3.505 b=5.431 c=17.352 alpha=90.00 beta=90.00 gamma=90.00
Space group Immm (No. 71)
One atom of each set of equivalent atoms:
Pm  0.000  0.000  0.156
Ag  0.000  0.000  0.500
Hg  0.000  0.000  0.336
Hg  0.000  0.500  0.500

Results
The calculation puts the distance to the lowest polymorph of the same formula at 0.231 eV/atom. The total magnetization comes out at 0.00 μB/f.u. The value obtained for the calculated formation energy is -175 meV/atom. As for the total energy: -2.385 eV per atom.

=====

The following is a GGA-PBE calculation of a relaxed Cu2Mo crystal, from Alexandria via LeMat-Bulk.

Unit cell a=4.153 b=11.453 c=3.407 alpha=90.00 beta=90.00 gamma=90.00
Space group Cmcm (No. 63)
One atom of each set of equivalent atoms:
Cu  0.000  0.083  0.250
Cu  0.000  0.242  0.750
Mo  0.000  0.420  0.250

Results
The total magnetization comes out at 0.00 μB/f.u. The value obtained for the calculated formation energy is 201 meV/atom. As for the total energy: -6.140 eV per atom.

=====

The following is a GGA-PBE calculation of a relaxed RbDyAg2 crystal, from Alexandria via LeMat-Bulk.

Unit cell a=3.802 b=3.802 c=8.484 alpha=90.00 beta=90.00 gamma=90.00
Space group P4/mmm (No. 123)
One atom of each set of equivalent atoms:
Rb  0.000  0.000  0.000
Dy  0.000  0.000  0.500
Ag  0.500  0.500  0.324

Results
The total magnetization comes out at 0.00 μB/f.u. The value obtained for the calculated formation energy is -84 meV/atom. As for the total energy: -2.902 eV per atom.

=====

The following is a GGA-PBE calculation of a relaxed NiBr3 crystal, from Alexandria via LeMat-Bulk.

Unit cell a=3.247 b=8.031 c=10.007 alpha=90.00 beta=90.00 gamma=90.00
Space group Immm (No. 71)
One atom of each set of equivalent atoms:
Ni  0.000  0.000  0.000
Br  0.000  0.000  0.500
Br  0.000  0.500  0.338

Results
The raw formation energy comes out at -75 meV/atom. The total magnetization comes out at 0.49 μB/f.u. As for the total energy: -2.775 eV per atom.

=====

The following is a GGA-PBE calculation of a relaxed NaAs2BrO crystal, from Alexandria via LeMat-Bulk.

Unit cell a=4.155 b=4.155 c=7.608 alpha=90.00 beta=90.00 gamma=90.00
Space group P4/mmm (No. 123)
One atom of each set of equivalent atoms:
Na  0.000  0.000  0.000
As  0.000  0.500  0.500
Br  0.500  0.500  0.000
O  0.500  0.500  0.500

Results
The raw formation energy comes out at -278 meV/atom. The calculation puts the distance to the lowest polymorph of the same formula at 0.000 eV/atom. The total magnetization comes out at 0.00 μB/f.u. As for the total energy: -3.728 eV per atom.

=====

The following is a GGA-PBE calculation of a relaxed La3SmEr2As6 crystal, from Alexandria via LeMat-Bulk.

Unit cell a=7.369 b=12.762 c=7.360 alpha=90.00 beta=109.49 gamma=90.00
Space group C2/m (No. 12)
One atom of each set of equivalent atoms:
La  0.000  0.000  0.000
La  0.000  0.334  0.000
Sm  0.000  0.500  0.500
Er  0.000  0.167  0.500
As  0.241  0.000  0.736
As  0.248  0.331  0.737

Results
The total magnetization comes out at 0.00 μB/f.u. The value obtained for the calculated formation energy is -1535 meV/atom. As for the total energy: -6.246 eV per atom.

=====

The following is a GGA-PBE calculation of a relaxed CaTb5Tl6 crystal, from Alexandria via LeMat-Bulk.

Unit cell a=5.415 b=7.569 c=8.568 alpha=90.00 beta=108.15 gamma=90.00
Space group P2/m (No. 10)
One atom of each set of equivalent atoms:
Ca  0.000  0.000  0.000
Tb  0.000  0.500  0.000
Tb  0.334  0.000  0.669
Tb  0.334  0.500  0.668
Tl  0.167  0.251  0.334
Tl  0.500  0.250  0.000

Results
The total magnetization comes out at 0.00 μB/f.u. The value obtained for the calculated formation energy is -362 meV/atom. As for the total energy: -3.642 eV per atom.